Entry 1:
The following is a DFT calculation (GGA-PBE) of a relaxed LaErCd2 crystal.

It has space group Fm-3m (No. 225), with a = 7.668 Å, b = 7.668 Å, c = 7.668 Å, α = 90.00°, β = 90.00° and γ = 90.00°. The inequivalent atoms are La at (0.000, 0.000, 0.000), Er at (0.000, 0.000, 0.500) and Cd at (0.250, 0.250, 0.250).

Its energy of formation is -307 meV/atom. As for the energy above the most stable polymorph in this dataset: 11.6 meV per atom.



Entry 2:
The following is a DFT calculation (GGA-PBE) of a relaxed La3Er2Cd3 crystal.

It has space group Immm (No. 71), with a = 3.790 Å, b = 5.614 Å, c = 22.849 Å, α = 90.00°, β = 90.00° and γ = 90.00°. The inequivalent atoms are La at (0.000, 0.000, 0.000), La at (0.000, 0.500, 0.125), Er at (0.000, 0.000, 0.235), Cd at (0.000, 0.000, 0.500) and Cd at (0.000, 0.500, 0.375).

Its energy of formation is -237 meV/atom.



Entry 3:
The following is a DFT calculation (GGA-PBE) of a relaxed LaEr4Cd5 crystal.

It has space group P4/mmm (No. 123), with a = 3.729 Å, b = 3.729 Å, c = 19.060 Å, α = 90.00°, β = 90.00° and γ = 90.00°. The inequivalent atoms are La at (0.000, 0.000, 0.000), Er at (0.000, 0.000, 0.209), Er at (0.000, 0.000, 0.403), Cd at (0.500, 0.500, 0.115), Cd at (0.500, 0.500, 0.306) and Cd at (0.500, 0.500, 0.500).

Its energy of formation is -316 meV/atom.



Entry 4:
The following is a DFT calculation (GGA-PBE) of a relaxed La6Er3Cd crystal.

It has space group P2_1/m (No. 11), with a = 11.240 Å, b = 5.191 Å, c = 11.536 Å, α = 90.00°, β = 92.12° and γ = 90.00°. The inequivalent atoms are La at (0.046, 0.250, 0.393), La at (0.142, 0.750, 0.190), La at (0.154, 0.250, 0.692), La at (0.241, 0.250, 0.996), La at (0.350, 0.750, 0.800), La at (0.452, 0.250, 0.602), Er at (0.249, 0.750, 0.493), Er at (0.348, 0.250, 0.297), Er at (0.450, 0.750, 0.099) and Cd at (0.052, 0.750, 0.897).

Its energy of formation is -20 meV/atom.



Entry 5:
The following is a DFT calculation (GGA-PBE) of a relaxed La8ErCd2 crystal.

It has space group C2/m (No. 12), with a = 17.485 Å, b = 5.432 Å, c = 8.575 Å, α = 90.00°, β = 113.28° and γ = 90.00°. The inequivalent atoms are La at (0.050, 0.000, 0.241), La at (0.102, 0.500, 0.967), La at (0.146, 0.000, 0.701), La at (0.188, 0.500, 0.453), Er at (0.000, 0.500, 0.500) and Cd at (0.221, 0.000, 0.133).

Its energy of formation is -82 meV/atom.



Entry 6:
The following is a DFT calculation (GGA-PBE) of a relaxed LaEr4Cd crystal.

It has space group P4/mmm (No. 123), with a = 3.593 Å, b = 3.593 Å, c = 13.991 Å, α = 90.00°, β = 90.00° and γ = 90.00°. The inequivalent atoms are La at (0.000, 0.000, 0.000), Er at (0.000, 0.000, 0.356), Er at (0.500, 0.500, 0.183) and Cd at (0.500, 0.500, 0.500).

Its energy of formation is -80 meV/atom. As for the energy above the most stable polymorph in this dataset: 0.0 meV per atom.



energy of formation of number 5 (La8ErCd2)?
-82 meV/atom



What is the energy of formation in the sixth record?
-80 meV/atom



Which value of energy of formation does entry 5 give?
-82 meV/atom